Entry 1:
SCAN InRu2O, single point on PBEsol structure; energy relative to the elements, uncorrected = 821 meV/atom; total moment = 4.65 μB per formula unit; calculated volume = 55.6 Å³ per cell; SG = Fm-3m; density of states at the Fermi level = 0.63 states/eV/atom
1.0
0.000 3.029 3.029
3.029 0.000 3.029
3.029 3.029 0.000
In Ru O
1 2 1
Cartesian
0.000 0.000 0.000
1.514 1.514 1.514
4.543 4.543 4.543
3.029 3.029 3.029

---

Entry 2:
SCAN InRuO3, single point on PBEsol structure; energy relative to the elements, uncorrected = -934 meV/atom; total moment = 1.41 μB per formula unit; calculated volume = 58.6 Å³ per cell; SG = Pm-3m; density of states at the Fermi level = 0.23 states/eV/atom
1.0
3.885 0.000 0.000
0.000 3.885 0.000
0.000 0.000 3.885
In Ru O
1 1 3
Cartesian
0.000 0.000 0.000
1.942 1.942 1.942
0.000 1.942 1.942
1.942 0.000 1.942
1.942 1.942 0.000

---

Entry 3:
SCAN InRuW2O, single point on PBEsol structure; energy relative to the elements, uncorrected = 1930 meV/atom; total moment = 1.38 μB per formula unit; calculated volume = 107.1 Å³ per cell; SG = P4/mmm; density of states at the Fermi level = 0.63 states/eV/atom
1.0
4.626 0.000 0.000
0.000 4.626 0.000
0.000 0.000 5.004
In Ru W O
1 1 2 1
Cartesian
0.000 0.000 0.000
0.000 0.000 2.502
0.000 2.313 2.502
2.313 0.000 2.502
2.313 2.313 0.000

---

Entry 4:
SCAN In2S3O12, single point on PBEsol structure; energy relative to the elements, uncorrected = -1672 meV/atom; total moment = 0.00 μB per formula unit; calculated volume = 910.5 Å³ per cell; SG = P2_1/c; density of states at the Fermi level = 0.00 states/eV/atom
1.0
8.539 0.000 0.000
0.000 8.874 0.000
-8.302 0.000 12.017
In S O
8 12 48
Cartesian
-2.056 0.290 4.638
-6.208 4.146 10.646
2.172 0.326 1.380
-1.979 4.111 7.389
2.216 4.762 4.628
-1.936 8.548 10.637
6.444 4.727 1.371
2.293 8.583 7.379
-5.034 5.484 7.764
-0.883 7.827 1.756
-3.234 1.074 7.876
0.917 3.363 1.868
-4.375 6.628 11.973
-0.223 6.682 5.964
0.460 2.192 6.052
4.611 2.245 0.044
-0.681 5.510 10.149
3.470 7.800 4.140
1.120 1.047 10.261
5.271 3.390 4.253
-1.208 6.475 2.264
-5.360 6.836 8.273
-5.103 4.504 8.864
-0.952 8.807 2.856
-4.612 0.720 8.276
-0.461 3.716 2.268
-3.651 5.469 7.219
0.500 7.841 1.211
-3.072 0.906 6.419
1.080 3.531 0.411
-6.442 0.683 11.311
-2.291 3.754 5.303
-5.639 6.054 11.455
-1.488 7.257 5.447
1.110 1.943 2.242
-3.041 2.494 8.251
-0.244 1.163 5.263
-4.395 3.274 11.272
-2.260 0.205 8.580
1.891 4.231 2.571
0.603 6.222 4.823
-3.548 7.088 10.831
-0.537 5.560 6.871
3.614 7.750 0.863
-3.378 1.123 11.154
0.774 3.313 5.146
3.784 1.785 1.186
-0.367 2.651 7.194
-1.655 4.642 9.446
2.496 8.668 3.437
4.631 5.600 0.745
0.480 7.711 6.753
3.278 6.380 3.766
-0.873 6.931 9.775
1.725 1.617 6.570
5.876 2.820 0.562
2.527 5.120 6.714
6.678 8.191 0.706
-0.843 5.342 11.606
3.308 7.968 5.597
-0.264 1.032 10.806
3.888 3.405 4.798
0.698 5.157 9.749
4.849 8.153 3.740
1.188 0.067 9.161
5.340 4.370 3.153
5.596 2.038 3.744
1.445 2.399 9.752

---

Entry 5:
SCAN In2S3O12, single point on PBEsol structure; energy relative to the elements, uncorrected = -1670 meV/atom; total moment = 0.00 μB per formula unit; calculated volume = 482.6 Å³ per cell; SG = R-3; density of states at the Fermi level = 0.00 states/eV/atom
1.0
4.235 2.445 7.769
-4.235 2.445 7.769
0.000 -4.890 7.769
In S O
4 6 24
Cartesian
0.000 0.000 3.380
0.000 0.000 8.100
0.000 0.000 15.209
0.000 0.000 19.929
-3.004 -0.290 9.706
-1.250 -2.746 13.602
1.753 -2.456 9.706
-1.753 2.456 13.602
1.250 2.746 9.706
3.004 0.290 13.602
-3.267 -0.930 11.012
-2.575 -2.103 13.464
-3.109 1.178 9.845
-0.239 -1.719 6.845
-1.630 -0.655 9.298
-0.828 -3.294 12.297
-1.369 1.067 6.845
0.534 -3.281 9.845
-2.439 2.364 12.297
-0.248 -1.739 14.011
-1.608 -0.652 16.463
1.382 -1.084 9.298
-1.382 1.084 14.011
1.608 0.652 6.845
0.248 1.739 9.298
2.439 -2.364 11.012
-0.534 3.281 13.464
1.369 -1.067 16.463
0.828 3.294 11.012
1.630 0.655 14.011
0.239 1.719 16.463
3.109 -1.178 13.464
2.575 2.103 9.845
3.267 0.930 12.297

---

Entry 6:
SCAN InSbO4, single point on PBEsol structure; energy relative to the elements, uncorrected = -1686 meV/atom; total moment = 0.00 μB per formula unit; calculated volume = 289.4 Å³ per cell; SG = P2_1/c; density of states at the Fermi level = 0.00 states/eV/atom
1.0
7.526 0.000 0.000
0.000 5.254 0.000
-1.397 0.000 7.319
In Sb O
4 4 16
Cartesian
0.686 1.273 2.623
-0.013 1.354 6.282
6.142 3.899 1.037
5.443 3.981 4.696
2.235 3.924 1.353
1.537 3.956 5.012
4.592 1.297 2.307
3.894 1.329 5.966
0.494 2.975 1.348
-0.205 4.905 5.008
1.288 0.285 0.757
0.589 2.342 4.416
1.124 3.159 6.846
1.823 4.722 3.187
2.122 0.414 5.917
2.821 2.213 2.257
3.308 3.041 5.062
4.007 4.840 1.402
4.306 0.532 4.132
5.005 2.095 0.473
5.540 2.912 2.903
4.841 4.969 6.562
6.334 0.348 2.311
5.635 2.279 5.971

---

Entry 7:
SCAN In3Sb5O12, single point on PBEsol structure; energy relative to the elements, uncorrected = -1543 meV/atom; total moment = 0.00 μB per formula unit; calculated volume = 586.2 Å³ per cell; SG = I-43m; density of states at the Fermi level = 0.00 states/eV/atom
1.0
-5.272 5.272 5.272
5.272 -5.272 5.272
5.272 5.272 -5.272
In Sb O
6 10 24
Cartesian
5.272 2.636 0.000
5.272 0.000 2.636
2.636 5.272 0.000
2.636 0.000 5.272
0.000 5.272 2.636
0.000 2.636 5.272
2.528 2.528 -2.528
2.958 0.000 0.000
2.528 -2.528 2.528
7.587 0.000 0.000
0.000 2.958 0.000
0.000 0.000 2.958
-2.528 2.528 2.528
2.745 2.745 2.745
0.000 7.587 0.000
0.000 0.000 7.587
4.221 1.100 -1.100
4.221 -1.100 1.100
6.961 1.447 -1.447
6.961 -1.447 1.447
3.825 3.825 -1.689
3.825 -1.689 3.825
6.323 1.100 1.100
3.583 1.447 1.447
1.100 4.221 -1.100
1.100 -1.100 4.221
1.447 3.583 1.447
1.447 1.447 3.583
4.172 4.172 1.051
4.172 1.051 4.172
-1.100 4.221 1.100
-1.100 1.100 4.221
1.447 6.961 -1.447
1.447 -1.447 6.961
1.100 6.323 1.100
1.100 1.100 6.323
-1.689 3.825 3.825
1.051 4.172 4.172
-1.447 6.961 1.447
-1.447 1.447 6.961

---

Entry 8:
SCAN In11Sb3O24, single point on PBEsol structure; energy relative to the elements, uncorrected = -1735 meV/atom; total moment = 0.00 μB per formula unit; calculated volume = 467.2 Å³ per cell; SG = P1
1.0
8.069 0.000 0.000
2.478 7.713 0.000
2.513 1.952 7.506
In Sb O
11 3 24
Cartesian
0.000 0.000 0.000
3.815 7.479 5.040
3.313 5.293 2.397
4.803 4.449 7.286
4.263 2.229 4.577
5.693 7.734 2.136
6.416 4.884 3.764
5.377 2.655 1.377
8.827 7.256 3.427
8.325 5.105 0.853
9.773 4.913 5.889
7.353 7.273 6.727
7.365 2.491 6.208
8.850 2.398 2.950
1.147 1.348 1.281
3.281 3.339 6.073
2.421 1.522 3.640
5.717 8.183 6.004
4.871 6.415 3.588
4.495 6.413 0.851
3.908 3.848 0.222
4.616 3.774 3.047
5.974 3.723 5.462
3.871 1.062 0.406
5.023 1.102 2.918
8.336 8.850 5.805
7.663 6.234 5.050
7.260 6.165 2.303
9.005 6.390 7.387
7.217 3.326 2.307
8.829 3.546 7.286
8.526 3.387 4.729
11.057 8.722 6.655
10.373 8.671 3.910
9.837 6.567 1.570
10.349 5.975 4.216
11.613 6.018 6.675
9.787 3.871 2.018

---

Entry 9:
SCAN SrInSbO2, single point on PBEsol structure; energy relative to the elements, uncorrected = -315 meV/atom; total moment = 2.41 μB per formula unit; calculated volume = 130.7 Å³ per cell; SG = P4/mmm; density of states at the Fermi level = 0.56 states/eV/atom
1.0
4.473 0.000 0.000
0.000 4.473 0.000
0.000 0.000 6.535
Sr In Sb O
1 1 1 2
Cartesian
0.000 0.000 0.000
2.236 2.236 3.267
0.000 0.000 3.267
0.000 2.236 0.000
2.236 0.000 0.000

---

Entry 10:
SCAN InSb2TeO, single point on PBEsol structure; energy relative to the elements, uncorrected = 98 meV/atom; total moment = 0.00 μB per formula unit; calculated volume = 112.9 Å³ per cell; SG = P4/mmm; density of states at the Fermi level = 0.67 states/eV/atom
1.0
4.704 0.000 0.000
0.000 4.704 0.000
0.000 0.000 5.102
In Sb Te O
1 2 1 1
Cartesian
0.000 0.000 0.000
0.000 2.352 2.551
2.352 0.000 2.551
2.352 2.352 0.000
2.352 2.352 2.551

---

Entry 11:
SCAN ScInO3, single point on PBEsol structure; energy relative to the elements, uncorrected = -2759 meV/atom; total moment = 0.00 μB per formula unit; calculated volume = 127.7 Å³ per cell; SG = P6_3/mmc; density of states at the Fermi level = 0.00 states/eV/atom
1.0
3.431 0.000 0.000
-1.716 2.971 0.000
0.000 0.000 12.529
Sc In O
2 2 6
Cartesian
0.000 1.981 3.132
1.716 0.990 9.397
0.000 0.000 0.000
0.000 0.000 6.265
0.000 0.000 3.132
0.000 0.000 9.397
0.000 1.981 1.025
0.000 1.981 5.239
1.716 0.990 7.290
1.716 0.990 11.504

---

Entry 12:
SCAN ScInO2, single point on PBEsol structure; energy relative to the elements, uncorrected = -1485 meV/atom; total moment = 0.00 μB per formula unit; calculated volume = 49.6 Å³ per cell; SG = Fm-3m; density of states at the Fermi level = 0.07 states/eV/atom
1.0
0.000 2.915 2.915
2.915 0.000 2.915
2.915 2.915 0.000
Sc In O
1 1 2
Cartesian
0.000 0.000 0.000
2.915 2.915 2.915
1.458 1.458 1.458
4.373 4.373 4.373